(1)
This record from Alexandria describes ScCd2Ir after structural relaxation. The functional is PBEsol.

a = 3.0621 Å, b = 4.7142 Å, c = 5.7483 Å
α = 113.35°, β = 104.19°, γ = 92.96°
Fractional positions:
Cd1 0.0000 0.0000 0.5000
Cd2 0.5000 0.5000 0.5000
Ir1 0.5000 0.0000 0.0000
Sc1 0.0000 0.5000 0.0000

The size of the total moment is 0.000 μB/atom. The density of states at the Fermi level comes out at 2.18 states/eV per cell. Its energy relative to the elements is -0.12 eV per atom. The total energy is -4.83 eV/atom.

(2)
This record from Alexandria describes Mg2Ir after structural relaxation. The functional is PBEsol.

a = 4.2815 Å, b = 5.4967 Å, c = 8.2559 Å
α = 90.00°, β = 90.00°, γ = 90.00°
Fractional positions:
Ir1 0.7500 0.8316 0.1146
Ir2 0.2500 0.6684 0.6146
Ir3 0.7500 0.3316 0.3854
Ir4 0.2500 0.1684 0.8854
Mg1 0.7500 0.9179 0.7878
Mg2 0.7500 0.8366 0.4414
Mg3 0.2500 0.6634 0.9414
Mg4 0.2500 0.5821 0.2878
Mg5 0.7500 0.4179 0.7122
Mg6 0.7500 0.3366 0.0586
Mg7 0.2500 0.1634 0.5586
Mg8 0.2500 0.0821 0.2122

The size of the total moment is 0.000 μB/atom. The density of states at the Fermi level comes out at 5.31 states/eV per cell. Its energy relative to the elements is -0.24 eV per atom. The total energy is -4.66 eV/atom.

(3)
This record from Alexandria describes SrTl after structural relaxation. The functional is PBEsol.

a = 4.0131 Å, b = 4.0131 Å, c = 4.0124 Å
α = 90.00°, β = 90.00°, γ = 90.00°
Fractional positions:
Sr1 0.0000 0.0000 0.5000
Tl1 0.5000 0.5000 0.0000

The size of the total moment is 0.000 μB/atom. The density of states at the Fermi level comes out at 1.46 states/eV per cell. Its energy relative to the elements is -0.47 eV per atom. The total energy is -2.70 eV/atom.